(1)
Compound: Ac5In2IrO
Source: Alexandria
Functional: PBE
Structure: relaxed

Values from the calculation:
The raw formation energy comes out at -0.97 eV per atom.

The structure in CIF format:
```
data_Ac5In2IrO
_cell_length_a 4.3345
_cell_length_b 19.8813
_cell_length_c 14.6050
_cell_angle_alpha 90.00
_cell_angle_beta 90.00
_cell_angle_gamma 90.00
_symmetry_space_group_name_H-M 'C m c 21'
_symmetry_Int_Tables_number 36
_symmetry_space_group_name_Hall 'C 2c -2'
loop_
_atom_site_label
_atom_site_type_symbol
_atom_site_fract_x
_atom_site_fract_y
_atom_site_fract_z
_atom_site_occupancy
Ac1 Ac 0.0000 0.0045 0.0000 1
Ac2 Ac 0.0000 0.1605 0.2289 1
Ac3 Ac 0.0000 0.1799 0.6022 1
Ac4 Ac 0.0000 0.2041 0.8814 1
Ac5 Ac 0.0000 0.4623 0.2275 1
In1 In 0.0000 0.3655 0.5475 1
In2 In 0.0000 0.3848 0.9097 1
Ir1 Ir 0.0000 0.3077 0.2417 1
O1 O 0.0000 0.0453 0.6492 1
```

(2)
Compound: HfZnNi3
Source: Alexandria
Functional: PBE
Structure: relaxed

Values from the calculation:
Its energy relative to the elements is 1090 meV/atom. Its relative energy among the computed polymorphs is 1230 meV/atom.

The structure in CIF format:
```
data_HfZnNi3
_cell_length_a 4.5654
_cell_length_b 4.5654
_cell_length_c 4.5654
_cell_angle_alpha 90.00
_cell_angle_beta 90.00
_cell_angle_gamma 90.00
_symmetry_space_group_name_H-M 'P m -3 m'
_symmetry_Int_Tables_number 221
_symmetry_space_group_name_Hall '-P 4 2 3'
loop_
_atom_site_label
_atom_site_type_symbol
_atom_site_fract_x
_atom_site_fract_y
_atom_site_fract_z
_atom_site_occupancy
Hf1 Hf 0.0000 0.0000 0.0000 1
Zn1 Zn 0.5000 0.5000 0.5000 1
Ni1 Ni 0.0000 0.0000 0.5000 1
```

(3)
Compound: Ce2ZnGePt6
Source: Alexandria
Functional: PBE
Structure: relaxed

Values from the calculation:
Its energy relative to the elements is -747 meV/atom.

The structure in CIF format:
```
data_Ce2ZnGePt6
_cell_length_a 11.8866
_cell_length_b 5.4441
_cell_length_c 8.5541
_cell_angle_alpha 90.00
_cell_angle_beta 133.92
_cell_angle_gamma 90.00
_symmetry_space_group_name_H-M 'C 1 2/m 1'
_symmetry_Int_Tables_number 12
_symmetry_space_group_name_Hall '-C 2y'
loop_
_atom_site_label
_atom_site_type_symbol
_atom_site_fract_x
_atom_site_fract_y
_atom_site_fract_z
_atom_site_occupancy
Ce1 Ce 0.0362 0.0000 0.2938 1
Zn1 Zn 0.0000 0.5000 0.5000 1
Ge1 Ge 0.0000 0.5000 0.0000 1
Pt1 Pt 0.1556 0.5000 0.9036 1
Pt2 Pt 0.2457 0.2486 0.2632 1
```

(4)
Compound: Ce6HgAu2
Source: Alexandria
Functional: PBE
Structure: relaxed

Values from the calculation:
Its energy relative to the elements is -95 meV/atom.

The structure in CIF format:
```
data_Ce6HgAu2
_cell_length_a 15.2747
_cell_length_b 6.8964
_cell_length_c 5.2612
_cell_angle_alpha 90.00
_cell_angle_beta 104.35
_cell_angle_gamma 90.00
_symmetry_space_group_name_H-M 'C 1 2/m 1'
_symmetry_Int_Tables_number 12
_symmetry_space_group_name_Hall '-C 2y'
loop_
_atom_site_label
_atom_site_type_symbol
_atom_site_fract_x
_atom_site_fract_y
_atom_site_fract_z
_atom_site_occupancy
Ce1 Ce 0.0000 0.2043 0.0000 1
Ce2 Ce 0.1567 0.2048 0.6842 1
Hg1 Hg 0.0000 0.5000 0.5000 1
Au1 Au 0.1928 0.0000 0.2152 1
```

(5)
Compound: BeBr2O
Source: Alexandria
Functional: PBE
Structure: relaxed

Values from the calculation:
The raw formation energy comes out at -0.01 eV per atom. Its relative energy among the computed polymorphs is 0 meV/atom.

The structure in CIF format:
```
data_BeBr2O
_cell_length_a 6.2990
_cell_length_b 6.2990
_cell_length_c 9.0466
_cell_angle_alpha 90.00
_cell_angle_beta 90.00
_cell_angle_gamma 90.00
_symmetry_space_group_name_H-M 'I -4 2 d'
_symmetry_Int_Tables_number 122
_symmetry_space_group_name_Hall 'I -4 2bw'
loop_
_atom_site_label
_atom_site_type_symbol
_atom_site_fract_x
_atom_site_fract_y
_atom_site_fract_z
_atom_site_occupancy
Be1 Be 0.0000 0.0000 0.0000 1
Br1 Br 0.1688 0.2500 0.1250 1
O1 O 0.0000 0.0000 0.5000 1
```

(6)
Compound: Si2HgPbO
Source: Alexandria
Functional: PBE
Structure: relaxed

Values from the calculation:
The raw formation energy comes out at 0.21 eV per atom.

The structure in CIF format:
```
data_Si2HgPbO
_cell_length_a 4.2207
_cell_length_b 4.2207
_cell_length_c 5.8085
_cell_angle_alpha 90.00
_cell_angle_beta 90.00
_cell_angle_gamma 90.00
_symmetry_space_group_name_H-M 'P 4/m m m'
_symmetry_Int_Tables_number 123
_symmetry_space_group_name_Hall '-P 4 2'
loop_
_atom_site_label
_atom_site_type_symbol
_atom_site_fract_x
_atom_site_fract_y
_atom_site_fract_z
_atom_site_occupancy
Si1 Si 0.0000 0.5000 0.0000 1
Hg1 Hg 0.0000 0.0000 0.5000 1
Pb1 Pb 0.5000 0.5000 0.5000 1
O1 O 0.0000 0.0000 0.0000 1
```

(7)
Compound: Pr2YTh
Source: Alexandria
Functional: PBE
Structure: relaxed

Values from the calculation:
Its energy relative to the elements is 49 meV/atom. Its relative energy among the computed polymorphs is 15 meV/atom.

The structure in CIF format:
```
data_Pr2YTh
_cell_length_a 3.6422
_cell_length_b 3.6422
_cell_length_c 10.3464
_cell_angle_alpha 90.00
_cell_angle_beta 90.00
_cell_angle_gamma 90.00
_symmetry_space_group_name_H-M 'P 4/m m m'
_symmetry_Int_Tables_number 123
_symmetry_space_group_name_Hall '-P 4 2'
loop_
_atom_site_label
_atom_site_type_symbol
_atom_site_fract_x
_atom_site_fract_y
_atom_site_fract_z
_atom_site_occupancy
Pr1 Pr 0.0000 0.0000 0.2421 1
Y1 Y 0.5000 0.5000 0.5000 1
Th1 Th 0.5000 0.5000 0.0000 1
```

(8)
Compound: NdDy4Ga5
Source: Alexandria
Functional: PBE
Structure: relaxed

Values from the calculation:
Its energy relative to the elements is -580 meV/atom.

The structure in CIF format:
```
data_NdDy4Ga5
_cell_length_a 3.5931
_cell_length_b 3.5931
_cell_length_c 17.9856
_cell_angle_alpha 90.00
_cell_angle_beta 90.00
_cell_angle_gamma 90.00
_symmetry_space_group_name_H-M 'P 4/m m m'
_symmetry_Int_Tables_number 123
_symmetry_space_group_name_Hall '-P 4 2'
loop_
_atom_site_label
_atom_site_type_symbol
_atom_site_fract_x
_atom_site_fract_y
_atom_site_fract_z
_atom_site_occupancy
Nd1 Nd 0.0000 0.0000 0.0000 1
Dy1 Dy 0.0000 0.0000 0.2051 1
Dy2 Dy 0.0000 0.0000 0.4017 1
Ga1 Ga 0.5000 0.5000 0.1083 1
Ga2 Ga 0.5000 0.5000 0.3036 1
Ga3 Ga 0.5000 0.5000 0.5000 1
```

Total moment values (in μB per formula unit) by entry order: 0.00, 0.00, 1.38, 4.42, 2.00, 0.00, 0.00, 0.00.